Run 1
Compound: PSI2N
Source: Alexandria
Functional: GGA-PBE
Structure: relaxed

SG: P4/mmm
N(E_F), states/eV per cell: 3.7

a = 6.091 Å, b = 6.091 Å, c = 3.295 Å
α = 90.00°, β = 90.00°, γ = 90.00°
Atoms (fractional coordinates):
P: 0.000 0.000 0.000
S: 0.500 0.500 0.500
I: 0.000 0.500 0.500
I: 0.500 0.000 0.500
N: 0.500 0.500 0.000

---

Run 2
Compound: PSI2N
Source: Alexandria
Functional: GGA-PBE
Structure: relaxed

SG: P4/mmm
N(E_F), states/eV per cell: 5.8

a = 6.028 Å, b = 6.028 Å, c = 3.247 Å
α = 90.00°, β = 90.00°, γ = 90.00°
Atoms (fractional coordinates):
P: 0.000 0.000 0.000
S: 0.500 0.500 0.500
I: 0.000 0.500 0.000
I: 0.500 0.000 0.000
N: 0.000 0.000 0.500

---

Which of them is least stable? Easy: run 1.